No. 1
{"formula": "YAgHg", "functional": "PBE-GGA", "state": "optimized geometry", "total_energy_ev_per_atom": -3.202, "sg": "F-43m (216)", "e_form_mev_per_atom": 3.2, "cell": [[4.917, 0.000, 0.000], [2.459, 4.259, 0.000], [2.459, 1.420, 4.015]], "species": ["Ag", "Hg", "Y"], "frac_coords": [[0.000, 0.000, 0.000], [0.500, 0.500, 0.500], [0.750, 0.750, 0.750]]}

---

No. 2
{"formula": "NaBi4Pb6", "functional": "PBE-GGA", "state": "optimized geometry", "total_energy_ev_per_atom": -3.565, "e_above_lowest_polymorph_mev_per_atom": 0.0, "sg": "Cm (8)", "e_form_mev_per_atom": -10.7, "cell": [[-3.723, 3.018, 4.636], [-5.354, -3.372, -2.104], [6.431, -6.015, 4.146]], "species": ["Na", "Bi", "Bi", "Bi", "Bi", "Pb", "Pb", "Pb", "Pb", "Pb", "Pb"], "frac_coords": [[0.000, 0.000, 0.000], [0.863, 0.407, 0.266], [0.595, 0.595, 0.734], [0.407, 0.863, 0.266], [0.138, 0.138, 0.733], [0.050, 0.594, 0.651], [0.594, 0.050, 0.651], [0.950, 0.950, 0.349], [0.000, 0.499, 0.000], [0.406, 0.406, 0.349], [0.499, 0.000, 0.000]]}

---

No. 3
{"formula": "ErTmSc4", "functional": "PBE-GGA", "state": "optimized geometry", "total_energy_ev_per_atom": -5.498, "e_above_lowest_polymorph_mev_per_atom": 197.6, "sg": "F-43m (216)", "e_form_mev_per_atom": 229.2, "cell": [[6.216, 0.000, 0.000], [3.108, 5.383, 0.000], [3.108, 1.794, 5.075]], "species": ["Sc", "Sc", "Sc", "Sc", "Tm", "Er"], "frac_coords": [[0.625, 0.625, 0.125], [0.625, 0.125, 0.625], [0.625, 0.625, 0.625], [0.125, 0.625, 0.625], [0.250, 0.250, 0.250], [0.000, 0.000, 0.000]]}

---

No. 4
{"formula": "LiRePb", "functional": "PBE-GGA", "state": "optimized geometry", "total_energy_ev_per_atom": -5.327, "e_above_lowest_polymorph_mev_per_atom": 8.2, "sg": "Imm2 (44)", "e_form_mev_per_atom": 696.5, "cell": [[-3.306, -3.565, -1.345], [0.044, -4.364, 2.529], [-0.610, 5.003, 0.194]], "species": ["Li", "Pb", "Re"], "frac_coords": [[0.006, 0.006, 0.000], [0.331, 0.331, 0.000], [0.663, 0.663, 0.000]]}

---

No. 5
{"formula": "K2CaRh3F12", "functional": "PBE-GGA", "state": "optimized geometry", "total_energy_ev_per_atom": -4.868, "sg": "R-3m (166)", "cell": [[7.460, -0.092, -0.065], [3.604, 6.532, -0.065], [3.604, 2.098, 6.186]], "species": ["K", "K", "Ca", "Rh", "Rh", "Rh", "F", "F", "F", "F", "F", "F", "F", "F", "F", "F", "F", "F"], "frac_coords": [[0.637, 0.637, 0.637], [0.363, 0.363, 0.363], [0.000, 0.000, 0.000], [0.500, 0.000, 0.000], [0.000, 0.500, 0.000], [0.000, 0.000, 0.500], [0.317, 0.317, 0.910], [0.900, 0.900, 0.364], [0.364, 0.900, 0.900], [0.910, 0.317, 0.317], [0.900, 0.364, 0.900], [0.317, 0.910, 0.317], [0.683, 0.683, 0.090], [0.100, 0.100, 0.636], [0.636, 0.100, 0.100], [0.090, 0.683, 0.683], [0.100, 0.636, 0.100], [0.683, 0.090, 0.683]]}

---

No. 6
{"formula": "TaF", "functional": "PBE-GGA", "state": "optimized geometry", "total_energy_ev_per_atom": -8.479, "e_above_lowest_polymorph_mev_per_atom": 44.8, "sg": "I4/m (87)", "cell": [[10.516, 0.000, 0.000], [0.000, 10.516, 0.000], [0.000, 0.000, 2.875]], "species": ["Ta", "Ta", "Ta", "Ta", "Ta", "Ta", "Ta", "Ta", "F", "F", "F", "F", "F", "F", "F", "F"], "frac_coords": [[0.430, 0.853, 0.000], [0.570, 0.147, 0.000], [0.147, 0.430, 0.000], [0.853, 0.570, 0.000], [0.930, 0.353, 0.500], [0.070, 0.647, 0.500], [0.647, 0.930, 0.500], [0.353, 0.070, 0.500], [0.217, 0.130, 0.000], [0.783, 0.870, 0.000], [0.870, 0.217, 0.000], [0.130, 0.783, 0.000], [0.717, 0.630, 0.500], [0.283, 0.370, 0.500], [0.370, 0.717, 0.500], [0.630, 0.283, 0.500]]}

---

No. 7
{"formula": "Li2TlInBr6", "functional": "PBE-GGA", "state": "optimized geometry", "total_energy_ev_per_atom": -2.970, "sg": "R3 (146)", "cell": [[7.210, 0.001, 0.003], [3.606, 6.240, 0.001], [3.607, 2.080, 6.666]], "species": ["Li", "Li", "Tl", "In", "Br", "Br", "Br", "Br", "Br", "Br"], "frac_coords": [[0.516, 0.516, 0.452], [0.005, 0.006, 0.982], [0.806, 0.806, 0.583], [0.326, 0.325, 0.024], [0.578, 0.265, 0.231], [0.265, 0.926, 0.231], [0.926, 0.578, 0.231], [0.340, 0.736, 0.761], [0.736, 0.164, 0.761], [0.164, 0.340, 0.761]]}

---

No. 8
{"formula": "Mn2GaHIr", "functional": "PBE-GGA", "state": "optimized geometry", "total_energy_ev_per_atom": -6.873, "e_above_lowest_polymorph_mev_per_atom": 0.0, "sg": "P4/mmm (123)", "cell": [[-2.397, 1.392, -2.616], [-0.574, -3.519, -1.347], [-2.954, -0.460, 2.462]], "species": ["Mn", "Mn", "Ir", "Ga", "H"], "frac_coords": [[0.000, 0.500, 0.000], [0.500, 0.000, 0.000], [0.000, 0.000, 0.500], [0.500, 0.500, 0.500], [0.000, 0.000, 0.000]]}

---

No. 9
{"formula": "Ca2SnF", "functional": "PBE-GGA", "state": "optimized geometry", "total_energy_ev_per_atom": -3.830, "e_above_lowest_polymorph_mev_per_atom": 256.3, "sg": "P4/mmm (123)", "cell": [[-2.276, 2.253, -1.424], [0.222, -1.706, -3.054], [-5.913, -4.614, 2.149]], "species": ["Ca", "Ca", "Sn", "F"], "frac_coords": [[0.000, 0.000, 0.765], [0.000, 0.000, 0.235], [0.500, 0.500, 0.500], [0.500, 0.500, 0.000]]}

---

No. 10
{"formula": "Y2Cr2Co15", "functional": "PBE-GGA", "state": "optimized geometry", "total_energy_ev_per_atom": -7.371, "sg": "R-3m (166)", "e_form_mev_per_atom": -67.5, "cell": [[-1.086, -0.443, 6.160], [5.973, -0.684, 1.780], [1.073, 6.018, 1.398]], "species": ["Y", "Y", "Cr", "Cr", "Co", "Co", "Co", "Co", "Co", "Co", "Co", "Co", "Co", "Co", "Co", "Co", "Co", "Co", "Co"], "frac_coords": [[0.345, 0.345, 0.345], [0.655, 0.655, 0.655], [0.086, 0.086, 0.086], [0.914, 0.914, 0.914], [0.500, 0.000, 0.000], [0.000, 0.000, 0.500], [0.000, 0.500, 0.000], [0.000, 0.705, 0.295], [0.705, 0.295, 0.000], [0.295, 0.000, 0.705], [0.295, 0.705, 0.000], [0.705, 0.000, 0.295], [0.000, 0.295, 0.705], [0.151, 0.656, 0.656], [0.656, 0.656, 0.151], [0.656, 0.151, 0.656], [0.849, 0.344, 0.344], [0.344, 0.344, 0.849], [0.344, 0.849, 0.344]]}

---

No. 11
{"formula": "AcCoAg", "functional": "PBE-GGA", "state": "optimized geometry", "total_energy_ev_per_atom": -4.748, "e_above_lowest_polymorph_mev_per_atom": 20.7, "sg": "C2/m (12)", "e_form_mev_per_atom": -59.9, "cell": [[4.127, 0.000, 0.000], [0.000, 5.321, -0.181], [-2.064, -1.352, 6.520]], "species": ["Co", "Co", "Ag", "Ag", "Ac", "Ac"], "frac_coords": [[0.770, 0.093, 0.540], [0.230, 0.907, 0.460], [0.584, 0.772, 0.168], [0.416, 0.228, 0.832], [0.878, 0.686, 0.756], [0.122, 0.314, 0.244]]}

---

No. 12
{"formula": "LiTePd2", "functional": "PBE-GGA", "state": "optimized geometry", "total_energy_ev_per_atom": -4.188, "sg": "I-42d (122)", "cell": [[4.055, 0.000, 0.000], [0.000, 4.055, 0.000], [2.027, 2.027, 8.958]], "species": ["Te", "Te", "Pd", "Pd", "Pd", "Pd", "Li", "Li"], "frac_coords": [[0.000, 0.000, 0.000], [0.750, 0.250, 0.500], [0.627, 0.125, 0.250], [0.123, 0.625, 0.250], [0.375, 0.373, 0.750], [0.875, 0.877, 0.750], [0.500, 0.500, 0.000], [0.250, 0.750, 0.500]]}

---

No. 13
{"formula": "TaCu2Pb", "functional": "PBE-GGA", "state": "optimized geometry", "total_energy_ev_per_atom": -5.290, "sg": "I-42d (122)", "e_form_mev_per_atom": 648.4, "cell": [[7.219, 0.000, 0.000], [0.000, 7.219, 0.000], [3.609, 3.609, 2.845]], "species": ["Pb", "Pb", "Cu", "Cu", "Cu", "Cu", "Ta", "Ta"], "frac_coords": [[0.000, 0.000, 0.000], [0.750, 0.250, 0.500], [0.614, 0.125, 0.250], [0.136, 0.625, 0.250], [0.375, 0.386, 0.750], [0.875, 0.864, 0.750], [0.500, 0.500, 0.000], [0.250, 0.750, 0.500]]}

---

No. 14
{"formula": "Na3Er2UTe6", "functional": "PBE-GGA", "state": "optimized geometry", "total_energy_ev_per_atom": -4.713, "sg": "C2/m (12)", "cell": [[7.664, -0.001, 0.000], [-3.831, 6.637, 0.000], [-1.278, -2.213, 7.576]], "species": ["Na", "Na", "Na", "Er", "Er", "U", "Te", "Te", "Te", "Te", "Te", "Te"], "frac_coords": [[0.165, 0.835, 0.500], [0.835, 0.165, 0.500], [0.500, 0.500, 0.500], [0.333, 0.667, 0.000], [0.667, 0.333, 0.000], [0.000, 0.000, 0.000], [0.922, 0.583, 0.767], [0.738, 0.738, 0.233], [0.078, 0.417, 0.233], [0.583, 0.922, 0.767], [0.262, 0.262, 0.767], [0.417, 0.078, 0.233]]}

---

No. 15
{"formula": "BaZnGeIr", "functional": "PBE-GGA", "state": "optimized geometry", "total_energy_ev_per_atom": -4.555, "sg": "P4/nmm (129)", "e_form_mev_per_atom": -386.2, "cell": [[4.170, 0.000, 0.000], [0.000, 4.170, 0.000], [0.000, 0.000, 11.970]], "species": ["Ba", "Ba", "Zn", "Zn", "Ge", "Ge", "Ir", "Ir"], "frac_coords": [[0.750, 0.750, 0.252], [0.250, 0.250, 0.748], [0.250, 0.750, 0.500], [0.750, 0.250, 0.500], [0.750, 0.750, 0.888], [0.250, 0.250, 0.112], [0.750, 0.250, 0.000], [0.250, 0.750, 0.000]]}

---

No. 16
{"formula": "Li4CdHg", "functional": "PBE-GGA", "state": "optimized geometry", "total_energy_ev_per_atom": -1.722, "e_above_lowest_polymorph_mev_per_atom": 2.3, "sg": "P2_1/m (11)", "e_form_mev_per_atom": -243.2, "cell": [[-3.001, 2.125, -2.847], [1.381, -3.694, -4.214], [-5.111, -6.736, 0.359]], "species": ["Li", "Li", "Li", "Li", "Li", "Li", "Li", "Li", "Cd", "Cd", "Hg", "Hg"], "frac_coords": [[0.250, 0.797, 0.417], [0.250, 0.960, 0.082], [0.750, 0.715, 0.582], [0.750, 0.544, 0.918], [0.750, 0.203, 0.583], [0.250, 0.285, 0.418], [0.750, 0.040, 0.918], [0.250, 0.456, 0.082], [0.750, 0.623, 0.253], [0.250, 0.377, 0.747], [0.750, 0.126, 0.248], [0.250, 0.874, 0.752]]}

---

No. 17
{"formula": "NdH8Pt2", "functional": "PBE-GGA", "state": "optimized geometry", "total_energy_ev_per_atom": -4.030, "sg": "I4/mmm (139)", "cell": [[4.312, 0.000, -1.558], [-0.563, 4.275, -1.558], [-0.321, -0.366, 5.859]], "species": ["Nd", "H", "H", "H", "H", "H", "H", "H", "H", "Pt", "Pt"], "frac_coords": [[0.500, 0.500, 0.000], [0.932, 0.932, 0.314], [0.068, 0.068, 0.686], [0.617, 0.617, 0.686], [0.617, 0.068, 0.686], [0.383, 0.383, 0.314], [0.383, 0.932, 0.314], [0.932, 0.383, 0.314], [0.068, 0.617, 0.686], [0.250, 0.750, 0.500], [0.750, 0.250, 0.500]]}

---

No. 18
{"formula": "B2HI2", "functional": "PBE-GGA", "state": "optimized geometry", "total_energy_ev_per_atom": -2.932, "sg": "P4/mbm (127)", "cell": [[8.254, 0.000, 0.000], [0.000, 8.254, 0.000], [0.000, 0.000, 3.485]], "species": ["I", "I", "I", "I", "H", "H", "B", "B", "B", "B"], "frac_coords": [[0.183, 0.683, 0.000], [0.683, 0.817, 0.000], [0.817, 0.317, 0.000], [0.317, 0.183, 0.000], [0.000, 0.000, 0.000], [0.500, 0.500, 0.000], [0.066, 0.566, 0.500], [0.566, 0.934, 0.500], [0.934, 0.434, 0.500], [0.434, 0.066, 0.500]]}

---

No. 19
{"formula": "Zn2FePd5Au2", "functional": "PBE-GGA", "state": "optimized geometry", "total_energy_ev_per_atom": -4.491, "sg": "P4/mbm (127)", "e_form_mev_per_atom": -137.9, "cell": [[-0.128, 3.766, 0.112], [-5.973, 0.006, -7.004], [-6.997, -0.415, 5.967]], "species": ["Zn", "Zn", "Zn", "Zn", "Fe", "Fe", "Pd", "Pd", "Pd", "Pd", "Pd", "Pd", "Pd", "Pd", "Pd", "Pd", "Au", "Au", "Au", "Au"], "frac_coords": [[0.000, 0.128, 0.628], [0.000, 0.872, 0.372], [0.000, 0.628, 0.872], [0.000, 0.372, 0.128], [0.000, 0.000, 0.000], [0.000, 0.500, 0.500], [0.500, 0.190, 0.084], [0.500, 0.810, 0.916], [0.500, 0.084, 0.810], [0.500, 0.690, 0.416], [0.500, 0.916, 0.190], [0.500, 0.310, 0.584], [0.500, 0.584, 0.690], [0.500, 0.416, 0.310], [0.500, 0.500, 0.000], [0.500, 0.000, 0.500], [0.000, 0.668, 0.168], [0.000, 0.332, 0.832], [0.000, 0.168, 0.332], [0.000, 0.832, 0.668]]}

---

No. 20
{"formula": "Pr6Ge2SbS3", "functional": "PBE-GGA", "state": "optimized geometry", "total_energy_ev_per_atom": -6.021, "sg": "C2/m (12)", "cell": [[4.288, 0.000, 0.000], [0.000, 8.542, 0.364], [-2.144, -2.406, 8.977]], "species": ["Pr", "Pr", "Pr", "Pr", "Pr", "Pr", "Ge", "Ge", "Sb", "S", "S", "S"], "frac_coords": [[0.328, 0.911, 0.656], [0.667, 0.584, 0.335], [0.672, 0.089, 0.344], [0.001, 0.265, 0.003], [0.999, 0.735, 0.997], [0.333, 0.416, 0.665], [0.833, 0.666, 0.666], [0.167, 0.334, 0.334], [0.500, 0.000, 0.000], [0.500, 0.500, 0.000], [0.834, 0.167, 0.669], [0.166, 0.833, 0.331]]}